*w*
VASP calculation (meta-GGA SCAN) on a crystal of BaRh2Br relaxed with PBEsol.

Computed properties:
- Density of states at the Fermi level: 0.217 states/eV/atom

abc: 3.8014 5.5958 5.5958
angles: 62.28 70.14 70.14
Closest atoms and distances in Å follow each position.
Sites, in units of the cell vectors:
Rh 0.6755 0.8245 0.8245  2 Rh 2.41
Rh 0.0070 0.9930 0.9930  2 Rh 2.41, 2 Br 2.54
Ba 0.5025 0.4975 0.4975  8 Rh 3.27-3.46, 4 Br 3.33-3.34
Br 0.3150 0.1850 0.1850  2 Rh 2.54

=====

*x*
VASP calculation (meta-GGA SCAN) on a crystal of BaRh2Br relaxed with PBEsol.

Computed properties:
- Density of states at the Fermi level: 0.791 states/eV/atom

abc: 4.3757 4.6313 4.8861
angles: 94.49 90.00 90.00
Closest atoms and distances in Å follow each position.
Sites, in units of the cell vectors:
Rh 0.0000 0.5646 0.7476  2 Rh 2.45-2.58, 2 Br 2.54
Rh 0.0000 0.4354 0.2524  2 Rh 2.45-2.58, 2 Br 2.54
Ba 0.5000 0.0000 0.5000  4 Br 3.23-3.50, 8 Rh 3.27-3.55
Br 0.5000 0.5000 0.0000  4 Rh 2.54

=====

What are the relative energies? In meV per atom: *w* 0; *x* 90.

=====

*w*
VASP calculation (meta-GGA SCAN) on a crystal of BaScBr relaxed with PBEsol.

Computed properties:
- Density of states at the Fermi level: 0.592 states/eV/atom

abc: 3.6052 3.6052 7.3178
angles: 104.26 104.26 90.00
Closest atoms and distances in Å follow each position.
Sites, in units of the cell vectors:
Sc 0.3046 0.3046 0.6092  4 Br 3.01
Br 0.6885 0.6885 0.3770  4 Sc 3.01
Ba 0.0069 0.0069 0.0138  4 Br 3.56, 4 Ba 3.61, 4 Sc 3.77

=====

*x*
VASP calculation (meta-GGA SCAN) on a crystal of BaScBr relaxed with PBEsol.

Computed properties:
- Density of states at the Fermi level: 0.760 states/eV/atom

abc: 5.2328 5.2328 5.2328
angles: 60.00 60.00 60.00
Closest atoms and distances in Å follow each position.
Sites, in units of the cell vectors:
Ba 0.5000 0.5000 0.5000  4 Br 3.20
Br 0.7500 0.7500 0.7500  4 Ba 3.20, 4 Sc 3.20
Sc 0.0000 0.0000 0.0000  4 Br 3.20

=====

What are the relative energies? In meV per atom: *w* 0; *x* 302.

=====

*w*
VASP calculation (meta-GGA SCAN) on a crystal of BaSeBr2 relaxed with PBEsol.

Computed properties:
- Density of states at the Fermi level: 0.233 states/eV/atom

abc: 4.2134 4.3299 7.5923
angles: 106.57 106.11 90.00
Closest atoms and distances in Å follow each position.
Sites, in units of the cell vectors:
Br 0.0162 0.0162 0.0324  4 Se 3.02, 2 Ba 3.29
Br 0.7746 0.2746 0.5493  4 Ba 3.22
Ba 0.1939 0.6939 0.3878  6 Br 3.22-3.29, 2 Se 3.26
Se 0.5153 0.5153 0.0305  4 Br 3.02, 2 Ba 3.26

=====

*x*
VASP calculation (meta-GGA SCAN) on a crystal of BaSeBr2 relaxed with PBEsol.

Computed properties:
- Density of states at the Fermi level: 0.852 states/eV/atom

abc: 5.5105 5.5105 5.5105
angles: 60.00 60.00 60.00
Closest atoms and distances in Å follow each position.
Sites, in units of the cell vectors:
Br 0.2500 0.2500 0.2500  4 Ba 3.37, 4 Se 3.37
Br 0.7500 0.7500 0.7500  4 Se 3.37, 4 Ba 3.37
Ba 0.0000 0.0000 0.0000  8 Br 3.37
Se 0.5000 0.5000 0.5000  8 Br 3.37

=====

What are the relative energies? In meV per atom: *w* 0; *x* 92.

=====

*w*
VASP calculation (meta-GGA SCAN) on a crystal of BaTeBr3 relaxed with PBEsol.

abc: 6.1778 6.1778 6.1778
angles: 90.00 90.00 90.00
Closest atoms and distances in Å follow each position.
Sites, in units of the cell vectors:
Ba 0.0000 0.0000 0.0000  6 Br 3.09
Br 0.0000 0.5000 0.0000  2 Ba 3.09
Br 0.0000 0.0000 0.5000  2 Ba 3.09
Br 0.5000 0.0000 0.0000  2 Ba 3.09
Te 0.5000 0.5000 0.5000  12 Br 4.37

=====

*x*
VASP calculation (meta-GGA SCAN) on a crystal of BaTeBr3 relaxed with PBEsol.

Computed properties:
- Density of states at the Fermi level: 0.509 states/eV/atom

abc: 5.8001 5.8001 5.8001
angles: 90.00 90.00 90.00
Closest atoms and distances in Å follow each position.
Sites, in units of the cell vectors:
Br 0.0000 0.0000 0.5000  2 Te 2.90
Br 0.0000 0.5000 0.0000  2 Te 2.90
Br 0.5000 0.0000 0.0000  2 Te 2.90
Te 0.0000 0.0000 0.0000  6 Br 2.90
Ba 0.5000 0.5000 0.5000  12 Br 4.10

=====

What are the relative energies? In meV per atom: *w* 0; *x* 73.

=====

*w*
VASP calculation (meta-GGA SCAN) on a crystal of BaTl2Br relaxed with PBEsol.

Computed properties:
- Density of states at the Fermi level: 0.673 states/eV/atom

abc: 3.8827 6.3771 6.3141
angles: 120.33 90.00 90.00
Closest atoms and distances in Å follow each position.
Sites, in units of the cell vectors:
Br 0.5000 0.5000 0.0000  2 Ba 3.19
Tl 0.0000 0.5000 0.5000  2 Tl 3.19
Tl 0.0000 0.0000 0.5000  2 Tl 3.19
Ba 0.5000 0.0000 0.0000  2 Br 3.19

=====

*x*
VASP calculation (meta-GGA SCAN) on a crystal of BaTl2Br relaxed with PBEsol.

Computed properties:
- Density of states at the Fermi level: 0.937 states/eV/atom

abc: 4.5003 4.5003 6.5908
angles: 90.00 90.00 90.00
Closest atoms and distances in Å follow each position.
Sites, in units of the cell vectors:
Br 0.0000 0.0000 0.5000  4 Ba 3.18
Tl 0.5000 0.0000 0.0000  4 Tl 3.18
Tl 0.0000 0.5000 0.0000  4 Tl 3.18
Ba 0.5000 0.5000 0.5000  4 Br 3.18

=====

What are the relative energies? In meV per atom: *w* 161; *x* 0.

=====

*w*
VASP calculation (meta-GGA SCAN) on a crystal of BaW2Br relaxed with PBEsol.

Computed properties:
- Density of states at the Fermi level: 0.788 states/eV/atom

abc: 3.3740 3.4282 9.5939
angles: 84.06 79.87 60.52
Closest atoms and distances in Å follow each position.
Sites, in units of the cell vectors:
W 0.2923 0.2267 0.1886  3 W 2.49-2.51
W 0.0410 0.8928 0.0252  3 W 2.49-2.51
Br 0.6832 0.8513 0.7822  2 W 2.85
Ba 0.4834 0.5292 0.5040  3 Br 3.28, 6 Ba 3.37-3.43, 3 W 3.56-3.60

=====

*x*
VASP calculation (meta-GGA SCAN) on a crystal of BaW2Br relaxed with PBEsol.

Computed properties:
- Density of states at the Fermi level: 0.885 states/eV/atom

abc: 4.8070 4.8070 4.8070
angles: 60.00 60.00 60.00
Closest atoms and distances in Å follow each position.
Sites, in units of the cell vectors:
W 0.7500 0.7500 0.7500  4 Ba 2.94, 4 Br 2.94
W 0.2500 0.2500 0.2500  4 Ba 2.94, 4 Br 2.94
Ba 0.0000 0.0000 0.0000  8 W 2.94
Br 0.5000 0.5000 0.5000  8 W 2.94

=====

What are the relative energies? In meV per atom: *w* 0; *x* 1954.

=====

*w*
VASP calculation (meta-GGA SCAN) on a crystal of BaWBr relaxed with PBEsol.

Computed properties:
- Density of states at the Fermi level: 0.849 states/eV/atom

abc: 3.2697 3.2697 7.0123
angles: 103.48 103.48 90.00
Closest atoms and distances in Å follow each position.
Sites, in units of the cell vectors:
Ba 0.9960 0.9960 0.9919  4 Ba 3.27, 4 W 3.45, 4 Br 3.57
Br 0.7017 0.7017 0.4035  4 W 2.67
W 0.3023 0.3023 0.6046  4 Br 2.67

=====

*x*
VASP calculation (meta-GGA SCAN) on a crystal of BaWBr relaxed with PBEsol.

Computed properties:
- Density of states at the Fermi level: 0.243 states/eV/atom

abc: 5.4100 5.4100 5.4100
angles: 60.00 60.00 60.00
Closest atoms and distances in Å follow each position.
Sites, in units of the cell vectors:
Br 0.5000 0.5000 0.5000  4 W 3.31
W 0.2500 0.2500 0.2500  4 Ba 3.31, 4 Br 3.31
Ba 0.0000 0.0000 0.0000  4 W 3.31

=====

What are the relative energies? In meV per atom: *w* 0; *x* 346.

=====

*w*
VASP calculation (meta-GGA SCAN) on a crystal of Ba2YBr relaxed with PBEsol.

Computed properties:
- Density of states at the Fermi level: 1.287 states/eV/atom

abc: 3.8861 5.7036 7.0550
angles: 90.00 90.00 90.00
Closest atoms and distances in Å follow each position.
Sites, in units of the cell vectors:
Ba 0.0000 0.0000 0.9185  1 Br 3.29, 4 Y 3.49
Ba 0.5000 0.5000 0.3511  4 Br 3.46, 2 Y 3.48-3.57
Br 0.0000 0.0000 0.3853  5 Ba 3.29-3.46
Y 0.5000 0.5000 0.8451  6 Ba 3.48-3.57, 2 Y 3.89

=====

*x*
VASP calculation (meta-GGA SCAN) on a crystal of Ba2YBr relaxed with PBEsol.

Computed properties:
- Density of states at the Fermi level: 1.067 states/eV/atom

abc: 3.8519 6.1789 6.3206
angles: 90.00 90.33 90.00
Closest atoms and distances in Å follow each position.
Sites, in units of the cell vectors:
Ba 0.8703 0.0000 0.1002  2 Br 3.48-3.50, 4 Y 3.66-3.68, 2 Ba 3.85
Ba 0.8760 0.5000 0.6667  4 Y 3.66-3.75, 4 Br 3.69-3.71, 2 Ba 3.85
Y 0.3744 0.5000 0.1734  8 Ba 3.66-3.75, 2 Y 3.85, 2 Br 3.94
Br 0.3793 0.0000 0.5598  6 Ba 3.48-3.71, 2 Br 3.85

=====

What are the relative energies? In meV per atom: *w* 34; *x* 0.

=====

*w*
VASP calculation (meta-GGA SCAN) on a crystal of BaC3Cl relaxed with PBEsol.

Computed properties:
- Density of states at the Fermi level: 0.776 states/eV/atom

abc: 4.2075 4.2075 4.2075
angles: 90.00 90.00 90.00
Closest atoms and distances in Å follow each position.
Sites, in units of the cell vectors:
C 0.5000 0.0000 0.0000  2 Cl 2.10
C 0.0000 0.0000 0.5000  2 Cl 2.10
C 0.0000 0.5000 0.0000  2 Cl 2.10
Ba 0.5000 0.5000 0.5000  12 C 2.98
Cl 0.0000 0.0000 0.0000  6 C 2.10

=====

*x*
VASP calculation (meta-GGA SCAN) on a crystal of BaC3Cl relaxed with PBEsol.

Computed properties:
- Density of states at the Fermi level: 1.534 states/eV/atom

abc: 5.1218 5.1218 5.1218
angles: 90.00 90.00 90.00
Closest atoms and distances in Å follow each position.
Sites, in units of the cell vectors:
C 0.0000 0.0000 0.5000  2 Ba 2.56
C 0.0000 0.5000 0.0000  2 Ba 2.56
C 0.5000 0.0000 0.0000  2 Ba 2.56
Cl 0.5000 0.5000 0.5000  12 C 3.62
Ba 0.0000 0.0000 0.0000  6 C 2.56

=====

What are the relative energies? In meV per atom: *w* 0; *x* 692.